No. 1
A plane-wave DFT calculation with PBE-GGA was carried out for LiFe2Pt after structural relaxation.

Output
* E_tot: -25.2 eV for the cell shown
* SG: Pmm2
* formation energy: -0.090 eV/atom

abc: 2.7027 3.5470 5.4078
angles: 90.00 90.00 90.00
Last column: nearest neighbours and their distance in Å.
Element x y z (fractional)
1 Pt 0.5000 0.5000 0.7398  4 Li 2.57, 6 Fe 2.67-2.74, 2 Pt 2.70
2 Fe 0.0000 0.0000 0.0107  6 Fe 2.57-2.70, 2 Li 2.66-2.75, 4 Pt 2.67
3 Fe 0.5000 0.5000 0.2466  6 Fe 2.57-2.70, 4 Li 2.63, 2 Pt 2.67-2.74
4 Li 0.0000 0.0000 0.5029  4 Pt 2.57, 6 Fe 2.63-2.75, 2 Li 2.70


No. 2
A plane-wave DFT calculation with PBE-GGA was carried out for LiFe2Pt after structural relaxation.

Output
* E_tot: -25.2 eV for the cell shown
* SG: Imm2
* formation energy: -0.083 eV/atom

abc: 4.9517 4.9517 4.9517
angles: 146.54 127.63 63.59
Last column: nearest neighbours and their distance in Å.
Element x y z (fractional)
1 Fe 0.9877 0.9877 0.0000  2 Fe 2.37, 2 Pt 2.60, 4 Li 2.61
2 Fe 0.7622 0.2622 0.5000  2 Fe 2.37, 2 Li 2.60, 4 Pt 2.61
3 Pt 0.2460 0.7460 0.5000  2 Li 2.60, 6 Fe 2.60-2.61, 2 Pt 2.85
4 Li 0.5041 0.5041 0.0000  2 Pt 2.60, 6 Fe 2.60-2.61, 2 Li 2.85


No. 3
A plane-wave DFT calculation with PBE-GGA was carried out for LiFe2Pt after structural relaxation.

Output
* E_tot: -25.4 eV for the cell shown
* SG: P4/mmm
* formation energy: -0.128 eV/atom

abc: 3.6420 3.6420 3.9041
angles: 90.00 90.00 90.00
Last column: nearest neighbours and their distance in Å.
Element x y z (fractional)
1 Pt 0.0000 0.5000 0.5000  4 Li 2.58, 8 Fe 2.67
2 Li 0.5000 0.0000 0.5000  4 Pt 2.58, 8 Fe 2.67
3 Fe 0.5000 0.5000 0.0000  4 Fe 2.58, 4 Li 2.67, 4 Pt 2.67
4 Fe 0.0000 0.0000 0.0000  4 Fe 2.58, 4 Li 2.67, 4 Pt 2.67


No. 4
A plane-wave DFT calculation with PBE-GGA was carried out for Li2FePt after structural relaxation.

Output
* E_tot: -18.6 eV for the cell shown
* SG: P4/mmm
* formation energy: -0.061 eV/atom

abc: 2.6407 2.6407 8.0552
angles: 90.00 90.00 90.00
Last column: nearest neighbours and their distance in Å.
Element x y z (fractional)
1 Li 0.0000 0.0000 0.4837  4 Li 2.64, 4 Pt 2.65, 4 Fe 2.84
2 Li 0.0000 0.0000 0.0163  4 Li 2.64, 4 Pt 2.65, 4 Fe 2.84
3 Pt 0.5000 0.5000 0.2500  4 Pt 2.64, 8 Li 2.65
4 Fe 0.5000 0.5000 0.7500  4 Fe 2.64, 8 Li 2.84


No. 5
A plane-wave DFT calculation with PBE-GGA was carried out for Li2FePt after structural relaxation.

Output
* E_tot: -19.0 eV for the cell shown
* SG: Pmm2
* formation energy: -0.168 eV/atom

abc: 2.6570 3.9795 5.3389
angles: 90.00 90.00 90.00
Last column: nearest neighbours and their distance in Å.
Element x y z (fractional)
1 Li 0.5000 0.5000 0.2512  1 Fe 2.50, 6 Li 2.66-2.72, 4 Pt 2.79
2 Li 0.0000 0.0000 0.0098  2 Pt 2.61-2.73, 6 Li 2.66-2.72, 4 Fe 2.85
3 Fe 0.5000 0.5000 0.7186  1 Li 2.50, 4 Pt 2.62, 2 Fe 2.66
4 Pt 0.0000 0.0000 0.5205  6 Li 2.61-2.79, 4 Fe 2.62, 2 Pt 2.66


No. 6
A plane-wave DFT calculation with PBE-GGA was carried out for LiFe2Pt after structural relaxation.

Output
* E_tot: -24.5 eV for the cell shown
* SG: P4/mmm
* formation energy: 0.092 eV/atom

abc: 2.6534 2.6534 7.8598
angles: 90.00 90.00 90.01
Last column: nearest neighbours and their distance in Å.
Element x y z (fractional)
1 Pt 0.5000 0.5000 0.7500  4 Pt 2.65, 8 Fe 2.68
2 Li 0.5000 0.5000 0.2500  4 Li 2.65, 8 Fe 2.75
3 Fe 0.0000 0.0000 0.9942  4 Fe 2.65, 4 Pt 2.68, 4 Li 2.75
4 Fe 0.0000 0.0000 0.5058  4 Fe 2.65, 4 Pt 2.68, 4 Li 2.75